1.
Density functional theory data (PBE) for a geometry-optimized Y3Se structure.

Calculated values
Excess energy over the best structure of this formula in the dataset ... 167.5 meV/atom

```
data_Y3Se
_cell_length_a 3.5923
_cell_length_b 5.6339
_cell_length_c 11.2105
_cell_angle_alpha 90.00
_cell_angle_beta 90.00
_cell_angle_gamma 90.00
_space_group_name_H-M_alt 'I m m m'
_space_group_IT_number 71
_space_group_name_Hall '-I 2 2'
loop_
_atom_site_label
_atom_site_type_symbol
_atom_site_fract_x
_atom_site_fract_y
_atom_site_fract_z
_atom_site_occupancy
Y1 Y 0.0000 0.0000 0.0000 1
Y2 Y 0.0000 0.5000 0.2049 1
Se1 Se 0.0000 0.0000 0.5000 1
```

***

2.
Density functional theory data (PBE) for a geometry-optimized Er6Fe23 structure.

Calculated values
E_form ... -2.18 eV/f.u.

```
data_Er6Fe23
_cell_length_a 11.9452
_cell_length_b 11.9452
_cell_length_c 11.9452
_cell_angle_alpha 90.00
_cell_angle_beta 90.00
_cell_angle_gamma 90.00
_space_group_name_H-M_alt 'F m -3 m'
_space_group_IT_number 225
_space_group_name_Hall '-F 4 2 3'
loop_
_atom_site_label
_atom_site_type_symbol
_atom_site_fract_x
_atom_site_fract_y
_atom_site_fract_z
_atom_site_occupancy
Er1 Er 0.0000 0.0000 0.2093 1
Fe1 Fe 0.0000 0.0000 0.5000 1
Fe2 Fe 0.0000 0.2500 0.2500 1
Fe3 Fe 0.1215 0.1215 0.3785 1
Fe4 Fe 0.1751 0.1751 0.1751 1
```

***

3.
Density functional theory data (PBE) for a geometry-optimized Sc3GeO6 structure.

Calculated values
Energy ... -8.207 eV per atom

```
data_Sc3GeO6
_cell_length_a 8.3698
_cell_length_b 10.4808
_cell_length_c 5.2443
_cell_angle_alpha 90.00
_cell_angle_beta 90.00
_cell_angle_gamma 90.00
_space_group_name_H-M_alt 'C m c 21'
_space_group_IT_number 36
_space_group_name_Hall 'C 2c -2'
loop_
_atom_site_label
_atom_site_type_symbol
_atom_site_fract_x
_atom_site_fract_y
_atom_site_fract_z
_atom_site_occupancy
Sc1 Sc 0.0000 0.0988 0.0000 1
Sc2 Sc 0.1950 0.3960 0.0609 1
Ge1 Ge 0.0000 0.3237 0.5726 1
O1 O 0.0000 0.2734 0.2135 1
O2 O 0.0000 0.4764 0.8214 1
O3 O 0.1585 0.2365 0.7538 1
O4 O 0.1621 0.0203 0.2783 1
```

***

4.
Density functional theory data (PBE) for a geometry-optimized Ni3GeW structure.

Calculated values
Excess energy over the best structure of this formula in the dataset ... 0.0 meV/atom
E_form ... 5.15 eV/f.u.

```
data_Ni3GeW
_cell_length_a 4.2213
_cell_length_b 4.2213
_cell_length_c 4.2213
_cell_angle_alpha 90.00
_cell_angle_beta 90.00
_cell_angle_gamma 90.00
_space_group_name_H-M_alt 'P m -3 m'
_space_group_IT_number 221
_space_group_name_Hall '-P 4 2 3'
loop_
_atom_site_label
_atom_site_type_symbol
_atom_site_fract_x
_atom_site_fract_y
_atom_site_fract_z
_atom_site_occupancy
Ni1 Ni 0.0000 0.0000 0.5000 1
Ge1 Ge 0.0000 0.0000 0.0000 1
W1 W 0.5000 0.5000 0.5000 1
```

***

5.
Density functional theory data (PBE) for a geometry-optimized ZnGe3O structure.

Calculated values
Excess energy over the best structure of this formula in the dataset ... 838.1 meV/atom

```
data_ZnGe3O
_cell_length_a 4.7627
_cell_length_b 4.7627
_cell_length_c 4.7627
_cell_angle_alpha 90.00
_cell_angle_beta 90.00
_cell_angle_gamma 90.00
_space_group_name_H-M_alt 'P m -3 m'
_space_group_IT_number 221
_space_group_name_Hall '-P 4 2 3'
loop_
_atom_site_label
_atom_site_type_symbol
_atom_site_fract_x
_atom_site_fract_y
_atom_site_fract_z
_atom_site_occupancy
Zn1 Zn 0.0000 0.0000 0.0000 1
Ge1 Ge 0.0000 0.0000 0.5000 1
O1 O 0.5000 0.5000 0.5000 1
```

***

6.
Density functional theory data (PBE) for a geometry-optimized LiH8Pd5 structure.

Calculated values
Energy ... -3.982 eV per atom

```
data_LiH8Pd5
_cell_length_a 6.3462
_cell_length_b 2.9072
_cell_length_c 8.4304
_cell_angle_alpha 90.00
_cell_angle_beta 97.84
_cell_angle_gamma 90.00
_space_group_name_H-M_alt 'P 1 m 1'
_space_group_IT_number 6
_space_group_name_Hall 'P -2y'
loop_
_atom_site_label
_atom_site_type_symbol
_atom_site_fract_x
_atom_site_fract_y
_atom_site_fract_z
_atom_site_occupancy
Li1 Li 0.0000 0.0000 0.0000 1
H1 H 0.2336 0.0000 0.6505 1
H2 H 0.2757 0.0000 0.9234 1
H3 H 0.5782 0.0000 0.7746 1
H4 H 0.6148 0.0000 0.2088 1
H5 H 0.7449 0.5000 0.0302 1
H6 H 0.8089 0.5000 0.4799 1
H7 H 0.9028 0.0000 0.7280 1
H8 H 0.9900 0.0000 0.3135 1
Pd1 Pd 0.2456 0.5000 0.7856 1
Pd2 Pd 0.5706 0.0000 0.9969 1
Pd3 Pd 0.7419 0.5000 0.7466 1
Pd4 Pd 0.8061 0.5000 0.2531 1
Pd5 Pd 0.9742 0.0000 0.5279 1
```

***

7.
Density functional theory data (PBE) for a geometry-optimized Pr2Dy3Tm4 structure.

Calculated values
Excess energy over the best structure of this formula in the dataset ... 10.9 meV/atom
E_form ... 0.90 eV/f.u.

```
data_Pr2Dy3Tm4
_cell_length_a 16.5520
_cell_length_b 11.5942
_cell_length_c 6.0080
_cell_angle_alpha 90.00
_cell_angle_beta 97.04
_cell_angle_gamma 90.00
_space_group_name_H-M_alt 'C 1 2/c 1'
_space_group_IT_number 15
_space_group_name_Hall '-C 2yc'
loop_
_atom_site_label
_atom_site_type_symbol
_atom_site_fract_x
_atom_site_fract_y
_atom_site_fract_z
_atom_site_occupancy
Pr1 Pr 0.1072 0.1172 0.2778 1
Dy1 Dy 0.0000 0.1489 0.7500 1
Dy2 Dy 0.1629 0.3502 0.5889 1
Tm1 Tm 0.0606 0.3925 0.0429 1
Tm2 Tm 0.2340 0.1106 0.8674 1
```

***

8.
Density functional theory data (PBE) for a geometry-optimized BaMn2Si structure.

Calculated values
Energy ... -6.491 eV per atom

```
data_BaMn2Si
_cell_length_a 4.1426
_cell_length_b 4.1426
_cell_length_c 18.0344
_cell_angle_alpha 90.00
_cell_angle_beta 90.00
_cell_angle_gamma 120.00
_space_group_name_H-M_alt 'R 3 m'
_space_group_IT_number 160
_space_group_name_Hall 'R 3 -2"'
loop_
_atom_site_label
_atom_site_type_symbol
_atom_site_fract_x
_atom_site_fract_y
_atom_site_fract_z
_atom_site_occupancy
Ba1 Ba 0.0000 0.0000 0.0000 1
Mn1 Mn 0.0000 0.0000 0.4972 1
Mn2 Mn 0.0000 0.0000 0.8107 1
Si1 Si 0.0000 0.0000 0.1877 1
```

***

9.
Density functional theory data (PBE) for a geometry-optimized K2Zn2CrS4 structure.

Calculated values
Energy ... -4.310 eV per atom

```
data_K2Zn2CrS4
_cell_length_a 15.8146
_cell_length_b 3.7406
_cell_length_c 7.2122
_cell_angle_alpha 90.00
_cell_angle_beta 107.09
_cell_angle_gamma 90.00
_space_group_name_H-M_alt 'C 1 2/m 1'
_space_group_IT_number 12
_space_group_name_Hall '-C 2y'
loop_
_atom_site_label
_atom_site_type_symbol
_atom_site_fract_x
_atom_site_fract_y
_atom_site_fract_z
_atom_site_occupancy
K1 K 0.1229 0.0000 0.0300 1
Zn1 Zn 0.1720 0.5000 0.4972 1
Cr1 Cr 0.0000 0.0000 0.5000 1
S1 S 0.0259 0.5000 0.2980 1
S2 S 0.2215 0.0000 0.6976 1
```

***

10.
Density functional theory data (PBE) for a geometry-optimized Ba2ErAgO5 structure.

Calculated values
Energy ... -6.085 eV per atom

```
data_Ba2ErAgO5
_cell_length_a 3.6107
_cell_length_b 14.0320
_cell_length_c 12.0788
_cell_angle_alpha 90.00
_cell_angle_beta 90.00
_cell_angle_gamma 90.00
_space_group_name_H-M_alt 'C m c 21'
_space_group_IT_number 36
_space_group_name_Hall 'C 2c -2'
loop_
_atom_site_label
_atom_site_type_symbol
_atom_site_fract_x
_atom_site_fract_y
_atom_site_fract_z
_atom_site_occupancy
Ba1 Ba 0.0000 0.0923 0.0000 1
Ba2 Ba 0.0000 0.1504 0.6196 1
Er1 Er 0.0000 0.2082 0.3418 1
Ag1 Ag 0.0000 0.4779 0.7672 1
O1 O 0.0000 0.0605 0.3834 1
O2 O 0.0000 0.2719 0.9560 1
O3 O 0.0000 0.3307 0.7200 1
O4 O 0.0000 0.3737 0.3066 1
O5 O 0.0000 0.4834 0.1005 1
```

***

Please write out number 2 again, unchanged.
Density functional theory data (PBE) for a geometry-optimized Er6Fe23 structure.

Calculated values
E_form ... -2.18 eV/f.u.

```
data_Er6Fe23
_cell_length_a 11.9452
_cell_length_b 11.9452
_cell_length_c 11.9452
_cell_angle_alpha 90.00
_cell_angle_beta 90.00
_cell_angle_gamma 90.00
_space_group_name_H-M_alt 'F m -3 m'
_space_group_IT_number 225
_space_group_name_Hall '-F 4 2 3'
loop_
_atom_site_label
_atom_site_type_symbol
_atom_site_fract_x
_atom_site_fract_y
_atom_site_fract_z
_atom_site_occupancy
Er1 Er 0.0000 0.0000 0.2093 1
Fe1 Fe 0.0000 0.0000 0.5000 1
Fe2 Fe 0.0000 0.2500 0.2500 1
Fe3 Fe 0.1215 0.1215 0.3785 1
Fe4 Fe 0.1751 0.1751 0.1751 1
```